No. 1
Computed, not measured: a PBEsol-optimized structure of Dy2Bi2O7 at the meta-GGA SCAN level of DFT.

The structure in CIF format:
```
data_Dy2Bi2O7
_chemical_formula_sum 'Dy4 Bi4 O14'
_space_group_name_H-M_alt 'P 1'
_space_group_IT_number 1
_cell_length_a 7.622
_cell_length_b 7.622
_cell_length_c 7.622
_cell_angle_alpha 60.00
_cell_angle_beta 60.00
_cell_angle_gamma 60.00
loop_
_space_group_symop_operation_xyz
'x,y,z'
loop_
_atom_site_label
_atom_site_fract_x
_atom_site_fract_y
_atom_site_fract_z
_atom_site_occupancy
Dy1 0.000 0.000 0.000 1
Dy2 0.000 0.000 0.500 1
Dy3 0.000 0.500 0.000 1
Dy4 0.500 0.000 0.000 1
Bi1 0.000 0.500 0.500 1
Bi2 0.500 0.000 0.500 1
Bi3 0.500 0.500 0.000 1
Bi4 0.500 0.500 0.500 1
O1 0.125 0.125 0.125 1
O2 0.146 0.146 0.604 1
O3 0.146 0.604 0.146 1
O4 0.146 0.604 0.604 1
O5 0.396 0.396 0.854 1
O6 0.396 0.854 0.396 1
O7 0.396 0.854 0.854 1
O8 0.604 0.146 0.146 1
O9 0.604 0.146 0.604 1
O10 0.604 0.604 0.146 1
O11 0.854 0.396 0.396 1
O12 0.854 0.396 0.854 1
O13 0.854 0.854 0.396 1
O14 0.875 0.875 0.875 1
```

Properties
Total magnetic moment, Bohr magnetons per cell: 0.01
Energy relative to the elements, uncorrected, eV/atom: -2.189

No. 2
Computed, not measured: a PBEsol-optimized structure of Dy2BiO2 at the meta-GGA SCAN level of DFT.

The structure in CIF format:
```
data_Dy2BiO2
_chemical_formula_sum 'Dy2 Bi1 O2'
_space_group_name_H-M_alt 'P 1'
_space_group_IT_number 1
_cell_length_a 7.197
_cell_length_b 7.197
_cell_length_c 7.197
_cell_angle_alpha 149.13
_cell_angle_beta 149.13
_cell_angle_gamma 44.21
loop_
_space_group_symop_operation_xyz
'x,y,z'
loop_
_atom_site_label
_atom_site_fract_x
_atom_site_fract_y
_atom_site_fract_z
_atom_site_occupancy
Dy1 0.167 0.167 0.000 1
Dy2 0.833 0.833 0.000 1
Bi1 0.500 0.500 0.000 1
O1 0.250 0.750 0.500 1
O2 0.750 0.250 0.500 1
```

Properties
Total magnetic moment, Bohr magnetons per cell: 0.00
Energy relative to the elements, uncorrected, eV/atom: -2.967

No. 3
Computed, not measured: a PBEsol-optimized structure of Dy3BiRu4O14 at the meta-GGA SCAN level of DFT.

The structure in CIF format:
```
data_Dy3BiRu4O14
_chemical_formula_sum 'Dy3 Bi1 Ru4 O14'
_space_group_name_H-M_alt 'P 1'
_space_group_IT_number 1
_cell_length_a 7.141
_cell_length_b 7.141
_cell_length_c 7.141
_cell_angle_alpha 60.25
_cell_angle_beta 60.25
_cell_angle_gamma 60.25
loop_
_space_group_symop_operation_xyz
'x,y,z'
loop_
_atom_site_label
_atom_site_fract_x
_atom_site_fract_y
_atom_site_fract_z
_atom_site_occupancy
Dy1 0.000 0.500 0.500 1
Dy2 0.500 0.000 0.500 1
Dy3 0.500 0.500 0.000 1
Bi1 0.500 0.500 0.500 1
Ru1 0.000 0.000 0.000 1
Ru2 0.000 0.000 0.500 1
Ru3 0.000 0.500 0.000 1
Ru4 0.500 0.000 0.000 1
O1 0.082 0.668 0.668 1
O2 0.085 0.085 0.666 1
O3 0.085 0.666 0.085 1
O4 0.332 0.332 0.918 1
O5 0.332 0.918 0.332 1
O6 0.334 0.915 0.915 1
O7 0.371 0.371 0.371 1
O8 0.629 0.629 0.629 1
O9 0.666 0.085 0.085 1
O10 0.668 0.082 0.668 1
O11 0.668 0.668 0.082 1
O12 0.915 0.334 0.915 1
O13 0.915 0.915 0.334 1
O14 0.918 0.332 0.332 1
```

Properties
Total magnetic moment, Bohr magnetons per cell: 3.48
Energy relative to the elements, uncorrected, eV/atom: -2.153